The following is a PBE calculation of Sr3As after structural relaxation, from the Alexandria database.

Cell and atoms, written as extended XYZ:
```
4
Lattice="5.739 3.314 1.326 -5.739 3.314 1.326 0.000 -6.627 1.326" Properties=species:S:1:pos:R:3 pbc="T T T"
Sr -2.870 -1.657 1.326
Sr -2.870 1.657 2.651
Sr 0.000 3.314 1.326
As 0.000 0.000 0.000
```

Calculated values
- offset from the most stable computed form (eV per atom) = 0.521

=====

The following is a PBE calculation of SrAs3 after structural relaxation, from the Alexandria database.

Cell and atoms, written as extended XYZ:
```
4
Lattice="4.809 0.000 0.000 0.000 4.196 0.000 -1.339 0.000 5.350" Properties=species:S:1:pos:R:3 pbc="T T T"
Sr 0.000 0.000 0.000
As 0.788 2.098 4.160
As 1.735 0.000 2.675
As 2.682 2.098 1.190
```

Calculated values
- VASP energy (eV/cell) = -17.39

=====

The following is a PBE calculation of SrAs after structural relaxation, from the Alexandria database.

Cell and atoms, written as extended XYZ:
```
4
Lattice="4.882 0.000 0.000 -2.441 4.228 0.000 0.000 0.000 6.053" Properties=species:S:1:pos:R:3 pbc="T T T"
Sr 0.000 0.000 0.000
Sr 0.000 2.819 3.027
As 2.441 1.409 1.345
As 2.441 1.409 4.708
```

Calculated values
- VASP energy (eV/cell) = -16.92

=====

The following is a PBE calculation of SrAs3 after structural relaxation, from the Alexandria database.

Cell and atoms, written as extended XYZ:
```
4
Lattice="-1.857 2.631 4.785 1.857 -2.631 4.785 1.857 2.631 -4.785" Properties=species:S:1:pos:R:3 pbc="T T T"
Sr 0.000 0.000 0.000
As 1.857 0.000 2.780
As 0.000 0.000 4.785
As 0.000 2.631 2.005
```

Calculated values
- VASP energy (eV/cell) = -16.94

=====

What did the fourth record say?
The following is a PBE calculation of SrAs3 after structural relaxation, from the Alexandria database.

Cell and atoms, written as extended XYZ:
```
4
Lattice="-1.857 2.631 4.785 1.857 -2.631 4.785 1.857 2.631 -4.785" Properties=species:S:1:pos:R:3 pbc="T T T"
Sr 0.000 0.000 0.000
As 1.857 0.000 2.780
As 0.000 0.000 4.785
As 0.000 2.631 2.005
```

Calculated values
- VASP energy (eV/cell) = -16.94

=====

Copy entry 3 word for word.
The following is a PBE calculation of SrAs after structural relaxation, from the Alexandria database.

Cell and atoms, written as extended XYZ:
```
4
Lattice="4.882 0.000 0.000 -2.441 4.228 0.000 0.000 0.000 6.053" Properties=species:S:1:pos:R:3 pbc="T T T"
Sr 0.000 0.000 0.000
Sr 0.000 2.819 3.027
As 2.441 1.409 1.345
As 2.441 1.409 4.708
```

Calculated values
- VASP energy (eV/cell) = -16.92